Entry 1:
Compound: Na2BeCl4
Source: Alexandria via LeMat-Bulk
Functional: PBE-GGA
Structure: optimized geometry

a b c (Å): 6.4099 6.8182 7.6820
angles (deg): 90.00 106.85 90.00
Atoms (fractional coordinates):
Na1 0.2088 0.2500 0.0487
Na2 0.2542 0.2500 0.5642
Na3 0.7458 0.7500 0.4358
Na4 0.7912 0.7500 0.9513
Be1 0.2425 0.7500 0.8039
Be2 0.7575 0.2500 0.1961
Cl1 0.0350 0.5142 0.7501
Cl2 0.0350 0.9858 0.7501
Cl3 0.4136 0.7500 0.0701
Cl4 0.4371 0.7500 0.6381
Cl5 0.5629 0.2500 0.3619
Cl6 0.5864 0.2500 0.9299
Cl7 0.9650 0.0142 0.2499
Cl8 0.9650 0.4858 0.2499

Computed properties:
uncorrected formation energy = -1.6382 eV/atom
total DFT energy (no corrections) = -3.60 eV per atom
energy above the most stable polymorph in this dataset = 28 meV/atom


Entry 2:
Compound: Na4BeCl6
Source: Alexandria via LeMat-Bulk
Functional: PBE-GGA
Structure: optimized geometry

a b c (Å): 7.4577 7.4577 13.3288
angles (deg): 109.21 109.21 57.81
Atoms (fractional coordinates):
Na1 0.1116 0.8884 0.5000
Na2 0.2240 0.4774 0.0099
Na3 0.4359 0.8211 0.8448
Na4 0.4774 0.2240 0.5099
Na5 0.6206 0.9630 0.1896
Na6 0.8211 0.4359 0.3448
Na7 0.8884 0.1116 0.0000
Na8 0.9630 0.6206 0.6896
Be1 0.2912 0.8337 0.2502
Be2 0.8337 0.2912 0.7502
Cl1 0.0811 0.5530 0.5079
Cl2 0.0887 0.7066 0.2054
Cl3 0.1286 0.1463 0.7102
Cl4 0.1463 0.1286 0.2102
Cl5 0.1623 0.7363 0.8882
Cl6 0.4190 0.8522 0.4126
Cl7 0.5459 0.6274 0.1698
Cl8 0.5530 0.0811 0.0079
Cl9 0.6274 0.5459 0.6698
Cl10 0.7066 0.0887 0.7054
Cl11 0.7363 0.1623 0.3882
Cl12 0.8522 0.4190 0.9126

Computed properties:
uncorrected formation energy = -1.6859 eV/atom
total DFT energy (no corrections) = -3.51 eV per atom


Entry 3:
Compound: NaBeCl2
Source: Alexandria via LeMat-Bulk
Functional: PBE-GGA
Structure: optimized geometry

a b c (Å): 3.9142 3.9142 21.4681
angles (deg): 90.00 90.00 120.00
Atoms (fractional coordinates):
Na1 0.0000 0.0000 0.0000
Na2 0.3333 0.6667 0.6667
Na3 0.6667 0.3333 0.3333
Be1 0.0000 0.0000 0.5000
Be2 0.3333 0.6667 0.1667
Be3 0.6667 0.3333 0.8333
Cl1 0.0000 0.0000 0.4078
Cl2 0.0000 0.0000 0.5922
Cl3 0.3333 0.6667 0.0745
Cl4 0.3333 0.6667 0.2589
Cl5 0.6667 0.3333 0.7411
Cl6 0.6667 0.3333 0.9255

Computed properties:
uncorrected formation energy = -0.7706 eV/atom
total DFT energy (no corrections) = -2.96 eV per atom
energy above the most stable polymorph in this dataset = 3 meV/atom


Entry 4:
Compound: NaBe3Cl
Source: Alexandria via LeMat-Bulk
Functional: PBE-GGA
Structure: optimized geometry

a b c (Å): 5.0922 5.0922 5.0922
angles (deg): 90.00 90.00 90.00
Atoms (fractional coordinates):
Na1 0.0000 0.0000 0.0000
Be1 0.0000 0.0000 0.5000
Be2 0.0000 0.5000 0.0000
Be3 0.5000 0.0000 0.0000
Cl1 0.5000 0.5000 0.5000

Computed properties:
uncorrected formation energy = 1.6962 eV/atom
total DFT energy (no corrections) = -1.17 eV per atom
energy above the most stable polymorph in this dataset = 441 meV/atom


Entry 5:
Compound: NaBe2ClO
Source: Alexandria via LeMat-Bulk
Functional: PBE-GGA
Structure: optimized geometry

a b c (Å): 3.4399 3.4399 8.3608
angles (deg): 90.00 90.00 90.00
Atoms (fractional coordinates):
Na1 0.0000 0.0000 0.0000
Be1 0.0000 0.5000 0.5000
Be2 0.5000 0.0000 0.5000
Cl1 0.5000 0.5000 0.0000
O1 0.0000 0.0000 0.5000

Computed properties:
uncorrected formation energy = -0.9391 eV/atom
total DFT energy (no corrections) = -4.05 eV per atom
energy above the most stable polymorph in this dataset = 0 meV/atom


Entry 6:
Compound: NaBe2ClO
Source: Alexandria via LeMat-Bulk
Functional: PBE-GGA
Structure: optimized geometry

a b c (Å): 5.5468 5.5468 4.7961
angles (deg): 90.00 90.00 90.00
Atoms (fractional coordinates):
Na1 0.0000 0.0000 0.0000
Be1 0.0000 0.5000 0.0000
Be2 0.5000 0.0000 0.0000
Cl1 0.0000 0.0000 0.5000
O1 0.5000 0.5000 0.5000

Computed properties:
uncorrected formation energy = 1.5312 eV/atom
total DFT energy (no corrections) = -1.58 eV per atom
energy above the most stable polymorph in this dataset = 2470 meV/atom


Entry 7:
Compound: NaBeP2Cl
Source: Alexandria via LeMat-Bulk
Functional: PBE-GGA
Structure: optimized geometry

a b c (Å): 5.0496 5.0496 4.8526
angles (deg): 90.00 90.00 90.00
Atoms (fractional coordinates):
Na1 0.0000 0.0000 0.0000
Be1 0.5000 0.5000 0.5000
P1 0.0000 0.5000 0.0000
P2 0.5000 0.0000 0.0000
Cl1 0.0000 0.0000 0.5000

Computed properties:
uncorrected formation energy = 1.3708 eV/atom
total DFT energy (no corrections) = -2.17 eV per atom
energy above the most stable polymorph in this dataset = 1491 meV/atom


Entry 8:
Compound: NaBeP2Cl
Source: Alexandria via LeMat-Bulk
Functional: PBE-GGA
Structure: optimized geometry

a b c (Å): 4.0400 4.0400 7.8073
angles (deg): 90.00 90.00 90.00
Atoms (fractional coordinates):
Na1 0.0000 0.0000 0.0000
Be1 0.5000 0.5000 0.5000
P1 0.0000 0.5000 0.5000
P2 0.5000 0.0000 0.5000
Cl1 0.5000 0.5000 0.0000

Computed properties:
uncorrected formation energy = -0.1203 eV/atom
total DFT energy (no corrections) = -3.66 eV per atom
energy above the most stable polymorph in this dataset = 0 meV/atom


- uncorrected formation energy of number 7 (NaBeP2Cl)?
  1.3708 eV/atom